Computed, not measured: an optimized crystal structure of Mn2VPtO at the GGA+U level of DFT. Values from VASP.

Values from the calculation:
**Symmetry**: P4/mmm (123)
**DFT total energy**: -5.26 eV/atom

Structure (Quantum ESPRESSO input):
```
&SYSTEM
  ibrav = 0, nat = 5, ntyp = 4
/
ATOMIC_SPECIES
Mn 54.94 Mn.upf
O 16.00 O.upf
Pt 195.08 Pt.upf
V 50.94 V.upf
CELL_PARAMETERS angstrom
5.008 0.000 0.000
0.000 4.556 0.000
0.000 0.000 5.008
ATOMIC_POSITIONS crystal
Mn 0.000 0.000 0.500
Mn 0.500 0.000 0.000
O 0.500 0.500 0.500
Pt 0.000 0.500 0.000
V 0.000 0.000 0.000
```